Entry 1:
Ag2PtW: optimized geometry, GGA-PBE.

POSCAR file:
```
Ag2PtW
1.0
2.752 0.000 0.000
0.000 2.752 0.000
0.000 0.000 8.745
Pt Ag W
1 2 1
direct
0.500 0.500 0.250
0.000 0.000 0.497
0.000 0.000 0.003
0.500 0.500 0.750
```

Values from the calculation:
Symmetry   P4/mmm
ΔE to the lowest computed polymorph   269.8 meV/atom
D(E_F)   0.660 states/eV per atom
Mass density   14.912 Mg/m³
Raw total energy   -23.155 eV/cell
ΔE_f   0.385 eV/atom



Entry 2:
ScReOs2: optimized geometry, GGA-PBE.

POSCAR file:
```
ScReOs2
1.0
5.324 0.012 0.003
2.489 4.707 -0.003
-3.336 -3.304 2.511
Sc Re Os
1 1 2
direct
0.250 0.750 0.500
0.750 0.250 0.500
0.986 0.986 0.000
0.514 0.514 0.000
```

Values from the calculation:
Symmetry   Immm
D(E_F)   0.908 states/eV per atom
Mass density   16.169 Mg/m³
Raw total energy   -40.798 eV/cell
ΔE_f   0.110 eV/atom



Entry 3:
LaTh2Mo: optimized geometry, GGA-PBE.

POSCAR file:
```
LaTh2Mo
1.0
-3.121 1.439 -1.079
-1.720 -1.758 2.631
1.246 6.635 5.246
Th Mo La
2 1 1
direct
0.000 0.000 0.793
0.000 0.000 0.207
0.500 0.500 0.000
0.500 0.500 0.500
```

Values from the calculation:
Symmetry   P4/mmm
ΔE to the lowest computed polymorph   0.0 meV/atom
D(E_F)   1.122 states/eV per atom
Mass density   10.465 Mg/m³
Raw total energy   -30.032 eV/cell
ΔE_f   0.141 eV/atom



Number 2 is which compound? ScReOs2